[1]
First-principles (GGA-PBE) data for an optimized crystal structure of Zn3PbCl, as listed in Alexandria via LeMat-Bulk.

The space group is Pm-3m (No. 221) and the conventional cell measures 5.371, 5.371 and 5.371 Å, with angles of 90.00, 90.00 and 90.00 degrees. The asymmetric unit holds Zn at (0.000, 0.000, 0.500), Pb at (0.000, 0.000, 0.000) and Cl at (0.500, 0.500, 0.500).

As for the total energy: -8.4 eV for the cell shown. As for the volume: 154.9 Å³ per cell. The density of states at the Fermi level is 0.96 states/eV/f.u. For the uncorrected formation energy, the calculation gives 0.1977 eV/atom. The calculation puts the offset from the most stable computed form at 0 meV/atom.

***

[2]
First-principles (GGA-PBE) data for an optimized crystal structure of CaTi2Pd9, as listed in Alexandria via LeMat-Bulk.

The space group is P4/mmm (No. 123) and the conventional cell measures 3.986, 3.986 and 12.012 Å, with angles of 90.00, 90.00 and 90.00 degrees. The asymmetric unit holds Ca at (0.000, 0.000, 0.000), Ti at (0.000, 0.000, 0.335), Pd at (0.000, 0.500, 0.183), Pd at (0.000, 0.500, 0.500), Pd at (0.500, 0.500, 0.000) and Pd at (0.500, 0.500, 0.341).

As for the total energy: -71.8 eV for the cell shown. As for the volume: 190.8 Å³ per cell. The formation energy comes out at -606.6 meV/atom. The density of states at the Fermi level is 8.06 states/eV/f.u.

***

[3]
First-principles (GGA-PBE) data for an optimized crystal structure of Ce8OsPb3, as listed in Alexandria via LeMat-Bulk.

The space group is Cm (No. 8) and the conventional cell measures 11.141, 11.774 and 6.680 Å, with angles of 90.00, 123.54 and 90.00 degrees. The asymmetric unit holds Ce at (0.000, 0.000, 0.000), Ce at (0.036, 0.000, 0.461), Ce at (0.113, 0.342, 0.500), Ce at (0.147, 0.500, 0.038), Ce at (0.311, 0.000, 0.950), Ce at (0.454, 0.261, 0.672), Os at (0.312, 0.500, 0.522), Pb at (0.330, 0.277, 0.064) and Pb at (0.346, 0.000, 0.482).

As for the total energy: -142.3 eV for the cell shown. As for the volume: 730.3 Å³ per cell. The formation energy comes out at -111.7 meV/atom. The density of states at the Fermi level is 38.18 states/eV/f.u.

***

[4]
First-principles (GGA-PBE) data for an optimized crystal structure of YCoMo2, as listed in Alexandria via LeMat-Bulk.

The space group is F-43m (No. 216) and the conventional cell measures 6.454, 6.454 and 6.454 Å, with angles of 90.00, 90.00 and 90.00 degrees. The asymmetric unit holds Y at (0.000, 0.000, 0.000), Co at (0.250, 0.250, 0.250), Mo at (0.000, 0.000, 0.500) and Mo at (0.250, 0.250, 0.750).

As for the total energy: -136.4 eV for the cell shown. As for the volume: 268.8 Å³ per cell. The formation energy comes out at 284.2 meV/atom. The density of states at the Fermi level is 3.72 states/eV/f.u. The calculation puts the offset from the most stable computed form at 88 meV/atom.

***

[5]
First-principles (GGA-PBE) data for an optimized crystal structure of CaEu2Ni, as listed in Alexandria via LeMat-Bulk.

The space group is R-3m (No. 166, hexagonal axes) and the conventional cell measures 3.9274, 3.9274 and 32.3637 Å, with angles of 90.00, 90.00 and 120.00 degrees. The asymmetric unit holds Ca at (0.0000, 0.0000, 0.0000), Eu at (0.0000, 0.0000, 0.1150) and Ni at (0.0000, 0.0000, 0.5000).

As for the total energy: -84.0 eV for the cell shown. As for the volume: 432.3 Å³ per cell. The formation energy comes out at 80.8 meV/atom. The density of states at the Fermi level is 18.11 states/eV/f.u. The calculation puts the offset from the most stable computed form at 97 meV/atom.

***

[6]
First-principles (GGA-PBE) data for an optimized crystal structure of Y2ScNbTl, as listed in Alexandria via LeMat-Bulk.

The space group is P4/mmm (No. 123) and the conventional cell measures 5.603, 5.603 and 4.737 Å, with angles of 90.00, 90.00 and 90.00 degrees. The asymmetric unit holds Y at (0.000, 0.500, 0.000), Sc at (0.000, 0.000, 0.000), Nb at (0.000, 0.000, 0.500) and Tl at (0.500, 0.500, 0.500).

As for the total energy: -27.3 eV for the cell shown. As for the volume: 148.7 Å³ per cell. The formation energy comes out at 872.5 meV/atom. The density of states at the Fermi level is 5.21 states/eV/f.u.

***

[7]
First-principles (GGA-PBE) data for an optimized crystal structure of Hg2SbOs, as listed in Alexandria via LeMat-Bulk.

The space group is Cmmm (No. 65) and the conventional cell measures 3.024, 5.323 and 10.643 Å, with angles of 90.00, 90.00 and 90.00 degrees. The asymmetric unit holds Hg at (0.000, 0.000, 0.225), Sb at (0.000, 0.500, 0.500) and Os at (0.000, 0.500, 0.000).

As for the total energy: -25.6 eV for the cell shown. As for the volume: 171.3 Å³ per cell. The density of states at the Fermi level is 2.68 states/eV/f.u. For the uncorrected formation energy, the calculation gives 0.7917 eV/atom.

***

[8]
First-principles (GGA-PBE) data for an optimized crystal structure of Ga2SiTe, as listed in Alexandria via LeMat-Bulk.

The space group is I-42d (No. 122) and the conventional cell measures 5.968, 5.968 and 11.955 Å, with angles of 90.00, 90.00 and 90.00 degrees. The asymmetric unit holds Ga at (0.199, 0.250, 0.125), Si at (0.000, 0.000, 0.000) and Te at (0.000, 0.000, 0.500).

As for the total energy: -60.9 eV for the cell shown. As for the volume: 425.8 Å³ per cell. The density of states at the Fermi level is 0.00 states/eV/f.u. For the uncorrected formation energy, the calculation gives -0.1516 eV/atom. The calculation puts the offset from the most stable computed form at 0 meV/atom.

***

[9]
First-principles (GGA-PBE) data for an optimized crystal structure of Ba2CaTl3Cd4, as listed in Alexandria via LeMat-Bulk.

The space group is P-4m2 (No. 115) and the conventional cell measures 4.925, 4.925 and 13.408 Å, with angles of 90.00, 90.00 and 90.00 degrees. The asymmetric unit holds Ba at (0.000, 0.500, 0.225), Ca at (0.000, 0.000, 0.500), Tl at (0.000, 0.500, 0.871), Tl at (0.500, 0.500, 0.500), Cd at (0.000, 0.000, 0.000), Cd at (0.000, 0.500, 0.651) and Cd at (0.500, 0.500, 0.000).

As for the total energy: -19.3 eV for the cell shown. As for the volume: 325.2 Å³ per cell. The formation energy comes out at -270.9 meV/atom. The density of states at the Fermi level is 7.57 states/eV/f.u.

***

[10]
First-principles (GGA-PBE) data for an optimized crystal structure of La4RuSe, as listed in Alexandria via LeMat-Bulk.

The space group is F-43m (No. 216) and the conventional cell measures 8.763, 8.763 and 8.763 Å, with angles of 90.00, 90.00 and 90.00 degrees. The asymmetric unit holds La at (0.124, 0.124, 0.124), Ru at (0.250, 0.250, 0.750) and Se at (0.000, 0.000, 0.500).

As for the total energy: -119.7 eV for the cell shown. As for the volume: 673.0 Å³ per cell. The density of states at the Fermi level is 10.32 states/eV/f.u. For the uncorrected formation energy, the calculation gives 0.4231 eV/atom.